An optimized crystal structure of AlReTe2N. Source: the Alexandria database, functional PBE-GGA.

Values from the calculation:
- Energy relative to the elements, uncorrected: 987 meV per atom
- Final energy: -5.1731 eV/atom

a = 5.4355 Å, b = 5.4355 Å, c = 3.4265 Å
α = 90.00°, β = 90.00°, γ = 90.00°
Space group P4/mmm (No. 123)
Inequivalent atoms, fractional coordinates:
Al1 0.0000 0.0000 0.0000
Re1 0.5000 0.5000 0.5000
Te1 0.0000 0.5000 0.0000
N1 0.0000 0.0000 0.5000

---

An optimized crystal structure of Tb2Ce3ErSe6. Source: the Alexandria database, functional PBE-GGA.

Values from the calculation:
- Energy relative to the elements, uncorrected: -1797 meV per atom
- Final energy: -6.1750 eV/atom

a = 7.1186 Å, b = 12.3422 Å, c = 7.2527 Å
α = 90.00°, β = 109.13°, γ = 90.00°
Space group C2/m (No. 12)
Inequivalent atoms, fractional coordinates:
Tb1 0.0000 0.1664 0.0000
Ce1 0.0000 0.0000 0.5000
Ce2 0.0000 0.3317 0.5000
Er1 0.0000 0.5000 0.0000
Se1 0.2440 0.3350 0.2374
Se2 0.2499 0.0000 0.2392

---

An optimized crystal structure of MgZrSc2Rh4. Source: the Alexandria database, functional PBE-GGA.

Values from the calculation:
- Formation enthalpy at 0 K: -0.9047 eV/atom
- Final energy: -7.4311 eV/atom

a = 4.5694 Å, b = 4.5694 Å, c = 22.2178 Å
α = 90.00°, β = 90.00°, γ = 120.00°
Space group R-3m (No. 166, hexagonal axes)
Inequivalent atoms, fractional coordinates:
Mg1 0.0000 0.0000 0.0000
Zr1 0.0000 0.0000 0.5000
Sc1 0.0000 0.0000 0.2552
Rh1 0.0000 0.0000 0.1266
Rh2 0.0000 0.0000 0.3773

---

An optimized crystal structure of LiPm2Pt9. Source: the Alexandria database, functional PBE-GGA.

Values from the calculation:
- Formation enthalpy at 0 K: -0.6909 eV/atom
- Final energy: -6.1727 eV/atom

a = 5.4422 Å, b = 5.4422 Å, c = 26.4858 Å
α = 90.00°, β = 90.00°, γ = 120.00°
Space group R-3m (No. 166, hexagonal axes)
Inequivalent atoms, fractional coordinates:
Li1 0.0000 0.0000 0.0000
Pm1 0.0000 0.0000 0.1360
Pt1 0.0000 0.0000 0.3323
Pt2 0.0000 0.0000 0.5000
Pt3 0.0041 0.5020 0.9158

---

An optimized crystal structure of TmThTeSe. Source: the Alexandria database, functional PBE-GGA.

Values from the calculation:
- Energy relative to the elements, uncorrected: -1346 meV per atom
- Final energy: -5.9759 eV/atom

a = 6.8633 Å, b = 3.9721 Å, c = 8.2740 Å
α = 90.00°, β = 105.98°, γ = 90.00°
Space group Cm (No. 8)
Inequivalent atoms, fractional coordinates:
Tm1 0.0000 0.0000 0.0000
Th1 0.3196 0.5000 0.4569
Te1 0.2475 0.0000 0.7410
Se1 0.4038 0.0000 0.2099

---

An optimized crystal structure of TaCoNi2. Source: the Alexandria database, functional PBE-GGA.

Values from the calculation:
- Formation enthalpy at 0 K: 0.1616 eV/atom
- Final energy: -7.4686 eV/atom

a = 2.6709 Å, b = 2.6709 Å, c = 25.3088 Å
α = 90.00°, β = 90.00°, γ = 120.00°
Space group R-3m (No. 166, hexagonal axes)
Inequivalent atoms, fractional coordinates:
Ta1 0.0000 0.0000 0.0000
Co1 0.0000 0.0000 0.5000
Ni1 0.0000 0.0000 0.2448

---

An optimized crystal structure of ErZn4Ag2. Source: the Alexandria database, functional PBE-GGA.

Values from the calculation:
- Formation enthalpy at 0 K: -0.1928 eV/atom
- Final energy: -2.3873 eV/atom

a = 8.5550 Å, b = 6.8151 Å, c = 5.3335 Å
α = 90.00°, β = 127.84°, γ = 90.00°
Space group C2/m (No. 12)
Inequivalent atoms, fractional coordinates:
Er1 0.0000 0.0000 0.0000
Zn1 0.1902 0.1892 0.6856
Ag1 0.0074 0.5000 0.7569